# BaTcIr2

An optimized crystal structure of BaTcIr2 (PBE, Alexandria via LeMat-Bulk).

Cell: 7.594 7.594 7.000 Å, 90.00 90.00 90.00°
Space group I-42d (No. 122)
Unique sites:
Ba (0.000, 0.000, 0.000) x4
Tc (0.000, 0.000, 0.500) x4
Ir (0.153, 0.250, 0.625) x8

# Mn7CoSb4

An optimized crystal structure of Mn7CoSb4 (PBE, Alexandria via LeMat-Bulk).

Cell: 3.947 3.947 12.786 Å, 90.00 90.00 90.00°
Space group P-4m2 (No. 115)
Unique sites:
Mn (0.000, 0.000, 0.000) x1
Mn (0.000, 0.000, 0.500) x1
Mn (0.000, 0.500, 0.136) x2
Mn (0.000, 0.500, 0.646) x2
Mn (0.500, 0.500, 0.500) x1
Co (0.500, 0.500, 0.000) x1
Sb (0.000, 0.500, 0.355) x2
Sb (0.000, 0.500, 0.858) x2

**Formation energy from raw total energies**: 0.0604 eV/atom

# NaHfAl

An optimized crystal structure of NaHfAl (PBE, Alexandria via LeMat-Bulk).

Cell: 6.260 4.496 9.005 Å, 90.00 90.00 90.00°
Space group Pnma (No. 62)
Unique sites:
Na (0.096, 0.250, 0.032) x4
Hf (0.071, 0.250, 0.373) x4
Al (0.193, 0.250, 0.712) x4

# Ba4SrAu5

An optimized crystal structure of Ba4SrAu5 (PBE, Alexandria via LeMat-Bulk).

Cell: 4.013 4.013 19.870 Å, 90.00 90.00 90.00°
Space group P4/mmm (No. 123)
Unique sites:
Ba (0.000, 0.000, 0.102) x2
Ba (0.000, 0.000, 0.305) x2
Sr (0.000, 0.000, 0.500) x1
Au (0.500, 0.500, 0.000) x1
Au (0.500, 0.500, 0.204) x2
Au (0.500, 0.500, 0.411) x2

# LiSc2Hg2

An optimized crystal structure of LiSc2Hg2 (PBE, Alexandria via LeMat-Bulk).

Cell: 4.210 4.210 13.935 Å, 90.00 90.00 90.00°
Space group I4/mmm (No. 139)
Unique sites:
Li (0.000, 0.000, 0.000) x2
Sc (0.000, 0.500, 0.250) x4
Hg (0.000, 0.000, 0.400) x4

# PrPuMgHg

An optimized crystal structure of PrPuMgHg (PBE, Alexandria via LeMat-Bulk).

Cell: 7.670 7.670 7.670 Å, 90.00 90.00 90.00°
Space group F-43m (No. 216)
Unique sites:
Pr (0.000, 0.000, 0.000) x4
Pu (0.000, 0.000, 0.500) x4
Mg (0.250, 0.250, 0.750) x4
Hg (0.250, 0.250, 0.250) x4

# Pa2BeSiPt6

An optimized crystal structure of Pa2BeSiPt6 (PBE, Alexandria via LeMat-Bulk).

Cell: 9.021 9.021 9.021 Å, 90.00 90.00 90.00°
Space group Fm-3m (No. 225)
Unique sites:
Pa (0.250, 0.250, 0.250) x8
Be (0.000, 0.000, 0.000) x4
Si (0.000, 0.000, 0.500) x4
Pt (0.000, 0.000, 0.241) x24

**Formation energy from raw total energies**: -0.5565 eV/atom

# Ac3Si2Pb

An optimized crystal structure of Ac3Si2Pb (PBE, Alexandria via LeMat-Bulk).

Cell: 8.4589 8.4589 20.4933 Å, 90.00 90.00 120.00°
Space group R-3c (No. 167, hexagonal axes)
Unique sites:
Ac (0.0000, 0.2986, 0.2500) x18
Si (0.0000, 0.0000, 0.1504) x12
Pb (0.0000, 0.0000, 0.0000) x6

**Formation energy from raw total energies**: -0.4312 eV/atom

# Ca2GaBPd6

An optimized crystal structure of Ca2GaBPd6 (PBE, Alexandria via LeMat-Bulk).

Cell: 5.788 5.797 7.081 Å, 66.04 66.05 60.05°
Space group P-1 (No. 2)
Unique sites:
Ca (0.223, 0.220, 0.338) x2
Ga (0.500, 0.500, 0.500) x1
B (0.000, 0.000, 0.000) x1
Pd (0.232, 0.718, 0.813) x2
Pd (0.233, 0.236, 0.813) x2
Pd (0.287, 0.764, 0.184) x2

# AgSb2O

An optimized crystal structure of AgSb2O (PBE, Alexandria via LeMat-Bulk).

Cell: 5.149 5.149 14.118 Å, 90.00 90.00 90.00°
Space group I-42d (No. 122)
Unique sites:
Ag (0.000, 0.000, 0.000) x4
Sb (0.153, 0.250, 0.625) x8
O (0.000, 0.000, 0.500) x4

**Formation energy from raw total energies**: -0.1427 eV/atom

# SrLi2H

An optimized crystal structure of SrLi2H (PBE, Alexandria via LeMat-Bulk).

Cell: 7.467 7.467 7.467 Å, 90.00 90.00 90.00°
Space group Fm-3m (No. 225)
Unique sites:
Sr (0.000, 0.000, 0.000) x4
Li (0.250, 0.250, 0.250) x8
H (0.000, 0.000, 0.500) x4

# Na3Y3BiSe8

An optimized crystal structure of Na3Y3BiSe8 (PBE, Alexandria via LeMat-Bulk).

Cell: 8.2693 8.2693 21.2367 Å, 90.00 90.00 120.00°
Space group R-3m (No. 166, hexagonal axes)
Unique sites:
Na (0.0000, 0.5000, 0.0000) x9
Y (0.0000, 0.5000, 0.5000) x9
Bi (0.0000, 0.0000, 0.5000) x3
Se (0.0000, 0.0000, 0.2430) x6
Se (0.0023, 0.5011, 0.7567) x18

**Formation energy from raw total energies**: -1.3867 eV/atom

# Li2ScNi

An optimized crystal structure of Li2ScNi (PBE, Alexandria via LeMat-Bulk).

Cell: 3.233 3.161 6.654 Å, 90.00 90.42 90.00°
Space group Pm (No. 6)
Unique sites:
Li (0.000, 0.000, 0.000) x1
Li (0.499, 0.500, 0.236) x1
Sc (0.998, 0.000, 0.584) x1
Ni (0.499, 0.500, 0.785) x1

# Tb4Sm3Y

An optimized crystal structure of Tb4Sm3Y (PBE, Alexandria via LeMat-Bulk).

Cell: 23.548 3.500 6.759 Å, 90.00 106.64 90.00°
Space group C2/m (No. 12)
Unique sites:
Tb (0.125, 0.000, 0.382) x4
Tb (0.240, 0.500, 0.735) x4
Sm (0.000, 0.000, 0.000) x2
Sm (0.126, 0.000, 0.869) x4
Y (0.000, 0.500, 0.500) x2

# MgZrPb2

An optimized crystal structure of MgZrPb2 (PBE, Alexandria via LeMat-Bulk).

Cell: 3.332 3.332 9.023 Å, 90.00 90.00 90.00°
Space group P4/mmm (No. 123)
Unique sites:
Mg (0.000, 0.000, 0.000) x1
Zr (0.000, 0.000, 0.500) x1
Pb (0.500, 0.500, 0.249) x2

# ErBiIrO6

An optimized crystal structure of ErBiIrO6 (PBE, Alexandria via LeMat-Bulk).

Cell: 5.5161 5.5161 9.5839 Å, 90.00 90.00 120.00°
Space group P-31c (No. 163)
Unique sites:
Er (0.3333, 0.6667, 0.2500) x2
Bi (0.0000, 0.0000, 0.0000) x2
Ir (0.3333, 0.6667, 0.7500) x2
O (0.0358, 0.3748, 0.6344) x12

**Formation energy from raw total energies**: -1.5800 eV/atom

# KCa2P

An optimized crystal structure of KCa2P (PBE, Alexandria via LeMat-Bulk).

Cell: 4.194 4.038 9.152 Å, 90.00 103.21 90.00°
Space group Pm (No. 6)
Unique sites:
K (0.000, 0.000, 0.000) x1
Ca (0.327, 0.000, 0.651) x1
Ca (0.688, 0.500, 0.373) x1
P (0.843, 0.500, 0.682) x1

# KTl3Pt8

An optimized crystal structure of KTl3Pt8 (PBE, Alexandria via LeMat-Bulk).

Cell: 5.4890 5.4890 26.8347 Å, 90.00 90.00 120.00°
Space group R3m (No. 160, hexagonal axes)
Unique sites:
K (0.0000, 0.0000, 0.0000) x3
Tl (0.0000, 0.0000, 0.3715) x3
Tl (0.0000, 0.0000, 0.4975) x3
Tl (0.0000, 0.0000, 0.8764) x3
Pt (0.0000, 0.0000, 0.1868) x3
Pt (0.0000, 0.0000, 0.6870) x3
Pt (0.0027, 0.5014, 0.4383) x9
Pt (0.1677, 0.3354, 0.2686) x9

# PuAgC

An optimized crystal structure of PuAgC (PBE, Alexandria via LeMat-Bulk).

Cell: 7.021 3.554 9.443 Å, 90.00 99.71 90.00°
Space group C2/m (No. 12)
Unique sites:
Pu (0.124, 0.000, 0.349) x4
Ag (0.135, 0.500, 0.910) x4
C (0.180, 0.000, 0.595) x4

# AlCu2Tc

An optimized crystal structure of AlCu2Tc (PBE, Alexandria via LeMat-Bulk).

Cell: 9.392 2.693 4.437 Å, 90.00 107.47 90.00°
Space group C2/m (No. 12)
Unique sites:
Al (0.000, 0.000, 0.000) x2
Cu (0.243, 0.500, 0.249) x4
Tc (0.000, 0.500, 0.500) x2

# BaHfBe2F

An optimized crystal structure of BaHfBe2F (PBE, Alexandria via LeMat-Bulk).

Cell: 5.361 5.361 4.041 Å, 90.00 90.00 90.00°
Space group P4/mmm (No. 123)
Unique sites:
Ba (0.000, 0.000, 0.000) x1
Hf (0.500, 0.500, 0.000) x1
Be (0.000, 0.500, 0.500) x2
F (0.500, 0.500, 0.500) x1

**Formation energy from raw total energies**: 0.2308 eV/atom

# Sc2CrP2

An optimized crystal structure of Sc2CrP2 (PBE, Alexandria via LeMat-Bulk).

Cell: 6.286 6.286 3.858 Å, 90.00 90.00 90.00°
Space group P4/mbm (No. 127)
Unique sites:
Sc (0.173, 0.327, 0.000) x4
Cr (0.000, 0.000, 0.500) x2
P (0.137, 0.637, 0.500) x4

# ScTcCl2

An optimized crystal structure of ScTcCl2 (PBE, Alexandria via LeMat-Bulk).

Cell: 10.394 3.198 5.566 Å, 90.00 91.44 90.00°
Space group Cm (No. 8)
Unique sites:
Sc (0.000, 0.000, 0.000) x2
Tc (0.370, 0.000, 0.265) x2
Cl (0.005, 0.500, 0.618) x2
Cl (0.244, 0.500, 0.037) x2

**Formation energy from raw total energies**: -0.5171 eV/atom

# CaOsO4

An optimized crystal structure of CaOsO4 (PBE, Alexandria via LeMat-Bulk).

Cell: 5.718 5.718 10.335 Å, 90.00 90.00 90.00°
Space group I4/mcm (No. 140)
Unique sites:
Ca (0.000, 0.000, 0.250) x4
Os (0.000, 0.500, 0.000) x4
O (0.158, 0.342, 0.124) x16

**Formation energy from raw total energies**: -1.4694 eV/atom

no.,uncorrected energy (eV per atom),magnetization (μB/atom)
1,-6.862,0.00
2,-7.255,1.32
3,-4.753,0.00
4,-3.272,0.00
5,-3.086,0.15
6,-5.314,1.59
7,-6.995,0.14
8,-4.911,0.00
9,-5.112,0.00
10,-4.156,0.00
11,-1.620,0.00
12,-5.060,0.00
13,-4.082,0.00
14,-4.735,0.00
15,-4.399,0.00
16,-6.808,0.15
17,-3.113,0.04
18,-4.803,0.00
19,-8.366,1.39
20,-5.592,0.00
21,-4.009,0.00
22,-7.578,0.00
23,-5.615,0.00
24,-6.980,0.00